Here is an optimized crystal structure of SmSiMo from OQMD. Energies are from PBE.

## Properties
V	21.9	Å³ per atom
space-group type	F-43m (216)
E	-6.841	eV/atom
size of the total moment	0.36	μB per formula unit

Unit cell a=4.5285 b=4.5285 c=4.5285 alpha=60.00 beta=60.00 gamma=60.00
Last column: nearest neighbours and their distance in Å.
Positions (direct):
Sm 0.0000 0.0000 0.0000  4 Si 2.77
Si 0.7500 0.7500 0.7500  4 Sm 2.77, 4 Mo 2.77
Mo 0.5000 0.5000 0.5000  4 Si 2.77

=====

Here is an optimized crystal structure of Tb3Si2Sn2Au4 from OQMD. Energies are from PBE.

## Properties
V	21.5	Å³ per atom
space-group type	Immm (71)
E	-4.875	eV/atom
size of the total moment	0.01	μB per formula unit

Unit cell a=8.5930 b=8.5930 c=8.5930 alpha=149.96 beta=131.27 gamma=58.31
Last column: nearest neighbours and their distance in Å.
Positions (direct):
Tb 0.0000 0.0000 0.0000  4 Si 3.23, 2 Sn 3.29, 8 Au 3.48
Tb 0.3797 0.8797 0.5000  4 Au 3.11, 4 Si 3.11, 2 Sn 3.28
Tb 0.6203 0.1203 0.5000  4 Au 3.11, 4 Si 3.11, 2 Sn 3.28
Si 0.3295 0.5000 0.8295  1 Si 2.42, 2 Au 2.44
Si 0.6705 0.5000 0.1705  1 Si 2.42, 2 Au 2.44
Sn 0.2193 0.2193 0.0000  6 Au 2.84-2.88
Sn 0.7807 0.7807 0.0000  6 Au 2.84-2.88
Au 0.0501 0.3491 0.7009  1 Si 2.44
Au 0.3518 0.6509 0.7009  1 Si 2.44
Au 0.6482 0.3491 0.2991  1 Si 2.44
Au 0.9499 0.6509 0.2991  1 Si 2.44

=====

- What is the formula in the first record?
  SmSiMo